(1)
Material: SmYHg3
Method: DFT, GGA-PBE
State: optimized geometry

Calculated values
- Electronic total energy: -0.209 Ry per atom
- Symmetry: No. 63

Unit cell a=3.6362 b=4.9238 c=14.6526 alpha=90.00 beta=97.13 gamma=90.00
Positions (direct):
Hg 0.6223 0.7500 0.2446
Hg 0.4759 0.2500 0.9518
Hg 0.5241 0.7500 0.0482
Hg 0.3777 0.2500 0.7554
Hg 0.3183 0.7500 0.6365
Hg 0.6817 0.2500 0.3635
Y 0.7894 0.2500 0.5788
Y 0.2106 0.7500 0.4212
Sm 0.9238 0.7500 0.8476
Sm 0.0762 0.2500 0.1524

(2)
Material: Sm4YHg
Method: DFT, GGA-PBE
State: optimized geometry

Calculated values
- Electronic total energy: -0.318 Ry per atom
- Symmetry: No. 15
- Relative energy among the computed polymorphs: 94 meV per atom

Unit cell a=6.4587 b=9.1460 c=8.3299 alpha=113.40 beta=99.94 gamma=113.07
Positions (direct):
Sm 0.2414 0.2875 0.3771
Sm 0.7782 0.4014 0.2385
Sm 0.3643 0.9104 0.6229
Sm 0.7586 0.7125 0.6229
Sm 0.9603 0.8371 0.2385
Sm 0.2218 0.5986 0.7615
Sm 0.0397 0.1629 0.7615
Sm 0.6357 0.0896 0.3771
Hg 0.7489 0.9989 0.9977
Hg 0.2511 0.0011 0.0023
Y 0.3403 0.5903 0.1807
Y 0.6597 0.4097 0.8193

(3)
Material: SmY2Hg3
Method: DFT, GGA-PBE
State: optimized geometry

Calculated values
- Electronic total energy: -0.264 Ry per atom
- Symmetry: No. 65

Unit cell a=5.2757 b=8.3662 c=7.5634 alpha=90.00 beta=90.00 gamma=71.62
Positions (direct):
Y 0.0000 0.0000 0.0000
Y 0.6679 0.6642 0.5000
Y 0.0000 0.0000 0.5000
Y 0.3321 0.3358 0.5000
Hg 0.5000 0.0000 0.7432
Hg 0.1649 0.6702 0.2571
Hg 0.8351 0.3298 0.2571
Hg 0.1649 0.6702 0.7429
Hg 0.5000 0.0000 0.2568
Hg 0.8351 0.3298 0.7429
Sm 0.3340 0.3319 0.0000
Sm 0.6660 0.6681 0.0000

(4)
Material: Sm2Y2Hg3
Method: DFT, GGA-PBE
State: optimized geometry

Calculated values
- Electronic total energy: -0.268 Ry per atom
- Symmetry: No. 12

Unit cell a=5.2589 b=5.2670 c=9.0222 alpha=89.95 beta=106.86 gamma=120.07
Positions (direct):
Hg 0.5068 0.7535 0.2588
Hg 0.4932 0.2465 0.7412
Hg 0.0000 0.0000 0.0000
Sm 0.7618 0.3809 0.1412
Sm 0.2382 0.6191 0.8588
Y 0.7438 0.8720 0.6173
Y 0.2562 0.1280 0.3827

(5)
Material: SmY2Hg2
Method: DFT, GGA-PBE
State: optimized geometry

Calculated values
- Electronic total energy: -0.297 Ry per atom
- Symmetry: No. 11
- Relative energy among the computed polymorphs: 3 meV per atom

Unit cell a=3.7606 b=5.3647 c=13.8677 alpha=90.00 beta=97.82 gamma=90.00
Positions (direct):
Y 0.2353 0.7500 0.4709
Y 0.0480 0.7500 0.0952
Y 0.9520 0.2500 0.9048
Y 0.7647 0.2500 0.5291
Hg 0.4538 0.7500 0.9073
Hg 0.5462 0.2500 0.0927
Hg 0.3559 0.2500 0.7124
Hg 0.6441 0.7500 0.2876
Sm 0.8531 0.7500 0.7084
Sm 0.1469 0.2500 0.2916

(6)
Material: SmY3Hg2
Method: DFT, GGA-PBE
State: optimized geometry

Calculated values
- Electronic total energy: -0.330 Ry per atom
- Symmetry: No. 26
- Relative energy among the computed polymorphs: 0 meV per atom

Unit cell a=5.1309 b=7.1471 c=9.3159 alpha=90.00 beta=90.00 gamma=90.00
Positions (direct):
Sm 0.5000 0.5155 0.5577
Sm 0.5000 0.0155 0.4423
Y 0.0000 0.3323 0.3237
Y 0.5000 0.6681 0.1729
Y 0.5000 0.1681 0.8271
Y 0.0000 0.4840 0.9431
Y 0.0000 0.8323 0.6763
Y 0.0000 0.9840 0.0569
Hg 0.0000 0.7606 0.3505
Hg 0.5000 0.7395 0.8528
Hg 0.5000 0.2395 0.1472
Hg 0.0000 0.2606 0.6495

(7)
Material: Sm3YHg
Method: DFT, GGA-PBE
State: optimized geometry

Calculated values
- Electronic total energy: -0.315 Ry per atom
- Symmetry: No. 12
- Relative energy among the computed polymorphs: 79 meV per atom

Unit cell a=6.8337 b=6.8337 c=8.8533 alpha=88.17 beta=120.26 gamma=112.87
Positions (direct):
Sm 0.8217 0.4411 0.2629
Sm 0.7339 0.9117 0.1445
Sm 0.7672 0.5894 0.8555
Sm 0.2661 0.0883 0.8555
Sm 0.1783 0.5589 0.7371
Sm 0.2328 0.4106 0.1445
Y 0.3188 0.9392 0.2579
Y 0.6812 0.0608 0.7421
Hg 0.7420 0.7576 0.4996
Hg 0.2580 0.2424 0.5004

(8)
Material: SmYHg4
Method: DFT, GGA-PBE
State: optimized geometry

Calculated values
- Electronic total energy: -0.169 Ry per atom
- Symmetry: No. 216
- Relative energy among the computed polymorphs: 121 meV per atom

Unit cell a=5.9761 b=5.9761 c=5.9761 alpha=60.00 beta=60.00 gamma=60.00
Positions (direct):
Hg 0.6250 0.1250 0.6250
Hg 0.6250 0.6250 0.1250
Hg 0.1250 0.6250 0.6250
Hg 0.6250 0.6250 0.6250
Y 0.2500 0.2500 0.2500
Sm 0.0000 0.0000 0.0000

(9)
Material: SmY4Hg5
Method: DFT, GGA-PBE
State: optimized geometry

Calculated values
- Electronic total energy: -0.273 Ry per atom
- Symmetry: No. 123

Unit cell a=3.7369 b=3.7369 c=18.7655 alpha=90.00 beta=90.00 gamma=90.00
Positions (direct):
Y 0.0000 0.0000 0.5991
Y 0.0000 0.0000 0.7976
Y 0.0000 0.0000 0.4009
Y 0.0000 0.0000 0.2024
Hg 0.5000 0.5000 0.5000
Hg 0.5000 0.5000 0.3017
Hg 0.5000 0.5000 0.6983
Hg 0.5000 0.5000 0.1051
Hg 0.5000 0.5000 0.8949
Sm 0.0000 0.0000 0.0000

(10)
Material: Sm2YHg4
Method: DFT, GGA-PBE
State: optimized geometry

Calculated values
- Electronic total energy: -0.206 Ry per atom
- Symmetry: No. 166
- Relative energy among the computed polymorphs: 0 meV per atom

Unit cell a=5.1404 b=5.1404 c=9.3497 alpha=74.04 beta=74.04 gamma=60.00
Positions (direct):
Y 0.0000 0.0000 0.0000
Hg 0.8736 0.8736 0.3791
Hg 0.6276 0.6276 0.1171
Hg 0.3724 0.3724 0.8829
Hg 0.1264 0.1264 0.6209
Sm 0.7560 0.7560 0.7320
Sm 0.2440 0.2440 0.2680

(11)
Material: Sm5Y4Hg
Method: DFT, GGA-PBE
State: optimized geometry

Calculated values
- Electronic total energy: -0.371 Ry per atom
- Symmetry: No. 123

Unit cell a=3.6290 b=3.6290 c=24.2808 alpha=90.00 beta=90.00 gamma=90.00
Positions (direct):
Hg 0.0000 0.0000 0.0000
Y 0.0000 0.0000 0.6036
Y 0.0000 0.0000 0.3964
Y 0.0000 0.0000 0.8111
Y 0.0000 0.0000 0.1889
Sm 0.5000 0.5000 0.9159
Sm 0.5000 0.5000 0.7074
Sm 0.5000 0.5000 0.5000
Sm 0.5000 0.5000 0.0841
Sm 0.5000 0.5000 0.2926

(12)
Material: SmY6Hg2
Method: DFT, GGA-PBE
State: optimized geometry

Calculated values
- Electronic total energy: -0.376 Ry per atom
- Symmetry: No. 12

Unit cell a=3.7394 b=6.6229 c=11.7585 alpha=75.28 beta=80.85 gamma=73.60
Positions (direct):
Hg 0.6462 0.9175 0.7902
Hg 0.3538 0.0825 0.2098
Y 0.6880 0.4996 0.1244
Y 0.3119 0.7910 0.5852
Y 0.3120 0.5004 0.8756
Y 0.9830 0.6958 0.3381
Y 0.6881 0.2090 0.4148
Y 0.0170 0.3042 0.6619
Sm 0.0000 0.0000 0.0000